ScReAg2, relaxed, DFT GGA-PBE; calculated formation energy = 46 kJ/mol of atoms; distance to the lowest polymorph of the same formula = 284 meV/atom; symmetry = No. 225; spin magnetization = 1.08 μB per cell; DOS at the Fermi energy = 3.3 states/eV/f.u.
1.0
0.000 3.292 3.292
3.292 0.000 3.292
3.292 3.292 0.000
Sc Re Ag
1 1 2
direct
0.000 0.000 0.000
0.500 0.500 0.500
0.250 0.250 0.250
0.750 0.750 0.750